No. 1
Crystalline KCd2Hg at its relaxed geometry. Source: Alexandria, functional GGA-PBEsol.

Results
Space-group type: No. 12
Raw total energy: -0.981 eV per atom

Lattice parameters (Å, degrees): 6.5876 6.5876 3.1040 101.71 101.71 121.61
Last column: nearest neighbours and their distance in Å.
Element x y z (fractional)
1 K 0.0000 0.0000 0.0000  2 K 3.10, 4 Hg 3.21-3.42, 4 Cd 3.34
2 Cd 0.0000 0.5000 0.5000  6 Cd 3.10-3.42, 2 Hg 3.34, 2 K 3.34
3 Cd 0.5000 0.0000 0.5000  6 Cd 3.10-3.42, 2 Hg 3.34, 2 K 3.34
4 Hg 0.5000 0.5000 0.0000  2 Hg 3.10, 4 K 3.21-3.42, 4 Cd 3.34



No. 2
Crystalline Mg5Bi at its relaxed geometry. Source: Alexandria, functional GGA-PBEsol.

Results
Space-group type: No. 155
Raw total energy: -2.190 eV per atom

Lattice parameters (Å, degrees): 6.2503 6.2503 6.2503 52.58 52.58 52.58
Last column: nearest neighbours and their distance in Å.
Element x y z (fractional)
1 Mg 0.0000 0.6692 0.3308  10 Mg 3.17-3.30, 2 Bi 3.26
2 Mg 0.1701 0.1701 0.1701  3 Bi 3.20, 9 Mg 3.20-3.30
3 Mg 0.3308 0.0000 0.6692  10 Mg 3.17-3.30, 2 Bi 3.26
4 Mg 0.6692 0.3308 0.0000  10 Mg 3.17-3.30, 2 Bi 3.26
5 Mg 0.8299 0.8299 0.8299  3 Bi 3.20, 9 Mg 3.20-3.30
6 Bi 0.5000 0.5000 0.5000  12 Mg 3.20-3.26



No. 3
Crystalline SiMoAs at its relaxed geometry. Source: Alexandria, functional GGA-PBEsol.

Results
Space-group type: No. 216
E above lowest polymorph: 0.736 eV/atom
Formation energy without anion corrections: 1.9 eV per formula unit

Lattice parameters (Å, degrees): 4.1678 4.1678 4.1678 60.00 60.00 60.00
Last column: nearest neighbours and their distance in Å.
Element x y z (fractional)
1 Si 0.0000 0.0000 0.0000  4 As 2.55
2 Mo 0.5000 0.5000 0.5000  4 As 2.55
3 As 0.2500 0.2500 0.2500  4 Mo 2.55, 4 Si 2.55



No. 4
Crystalline IrPt2 at its relaxed geometry. Source: Alexandria, functional GGA-PBEsol.

Results
Space-group type: No. 63
E above lowest polymorph: 0.014 eV/atom

Lattice parameters (Å, degrees): 6.1632 6.1632 3.8887 90.00 90.00 143.43
Last column: nearest neighbours and their distance in Å.
Element x y z (fractional)
1 Ir 0.0800 0.9200 0.7500  2 Ir 2.70, 10 Pt 2.71-2.78
2 Ir 0.9200 0.0800 0.2500  2 Ir 2.70, 10 Pt 2.71-2.78
3 Pt 0.2492 0.7508 0.2500  8 Pt 2.74-2.77, 4 Ir 2.78
4 Pt 0.4176 0.5824 0.7500  6 Ir 2.71-2.74, 6 Pt 2.74-2.77
5 Pt 0.5824 0.4176 0.2500  6 Ir 2.71-2.74, 6 Pt 2.74-2.77
6 Pt 0.7508 0.2492 0.7500  8 Pt 2.74-2.77, 4 Ir 2.78



No. 5
Crystalline BaNaNi2 at its relaxed geometry. Source: Alexandria, functional GGA-PBEsol.

Results
Space-group type: No. 225
Raw total energy: -3.317 eV per atom

Lattice parameters (Å, degrees): 4.9585 4.9585 4.9585 60.00 60.00 60.00
Last column: nearest neighbours and their distance in Å.
Element x y z (fractional)
1 Ba 0.0000 0.0000 0.0000  8 Ni 3.04
2 Na 0.5000 0.5000 0.5000  8 Ni 3.04
3 Ni 0.2500 0.2500 0.2500  4 Na 3.04, 4 Ba 3.04
4 Ni 0.7500 0.7500 0.7500  4 Ba 3.04, 4 Na 3.04



No. 6
Crystalline YGaBr at its relaxed geometry. Source: Alexandria, functional GGA-PBEsol.

Results
Space-group type: No. 166
Formation energy without anion corrections: -3.8 eV per formula unit

Lattice parameters (Å, degrees): 11.0355 11.0355 11.0355 21.24 21.24 21.24
Last column: nearest neighbours and their distance in Å.
Element x y z (fractional)
1 Y 0.0625 0.0625 0.0625  3 Ga 2.90, 3 Br 2.91
2 Y 0.9375 0.9375 0.9375  3 Ga 2.90, 3 Br 2.91
3 Ga 0.3431 0.3431 0.3431  3 Ga 2.43
4 Ga 0.6569 0.6569 0.6569  3 Ga 2.43
5 Br 0.2175 0.2175 0.2175  3 Y 2.91
6 Br 0.7825 0.7825 0.7825  3 Y 2.91



No. 7
Crystalline HfHgAs3 at its relaxed geometry. Source: Alexandria, functional GGA-PBEsol.

Results
Space-group type: No. 221
E above lowest polymorph: 0.808 eV/atom

Lattice parameters (Å, degrees): 4.9725 4.9725 4.9725 90.00 90.00 90.00
Last column: nearest neighbours and their distance in Å.
Element x y z (fractional)
1 Hf 0.0000 0.0000 0.0000  12 As 3.52
2 Hg 0.5000 0.5000 0.5000  6 As 2.49
3 As 0.0000 0.5000 0.5000  2 Hg 2.49
4 As 0.5000 0.0000 0.5000  2 Hg 2.49
5 As 0.5000 0.5000 0.0000  2 Hg 2.49



No. 8
Crystalline Sc3CoN at its relaxed geometry. Source: Alexandria, functional GGA-PBEsol.

Results
Space-group type: No. 221
Formation energy without anion corrections: 3.1 eV per formula unit

Lattice parameters (Å, degrees): 4.6103 4.6103 4.6103 90.00 90.00 90.00
Last column: nearest neighbours and their distance in Å.
Element x y z (fractional)
1 Sc 0.0000 0.0000 0.5000  2 Co 2.31
2 Sc 0.0000 0.5000 0.0000  2 Co 2.31
3 Sc 0.5000 0.0000 0.0000  2 Co 2.31
4 Co 0.0000 0.0000 0.0000  6 Sc 2.31
5 N 0.5000 0.5000 0.5000  12 Sc 3.26



No. 9
Crystalline ReHgRu at its relaxed geometry. Source: Alexandria, functional GGA-PBEsol.

Results
Space-group type: No. 107
E above lowest polymorph: 0.000 eV/atom

Lattice parameters (Å, degrees): 6.2659 6.2659 6.2659 153.88 153.88 37.28
Last column: nearest neighbours and their distance in Å.
Element x y z (fractional)
1 Re 0.0000 0.0000 0.0000  4 Ru 2.55, 4 Re 2.83
2 Hg 0.3145 0.3145 0.0000  4 Hg 2.83, 4 Ru 2.95, 4 Re 2.98
3 Ru 0.6325 0.6325 0.0000  4 Re 2.55, 4 Ru 2.83



No. 10
Crystalline LiOsAu3 at its relaxed geometry. Source: Alexandria, functional GGA-PBEsol.

Results
Space-group type: No. 221
Raw total energy: -4.223 eV per atom

Lattice parameters (Å, degrees): 4.9760 4.9760 4.9760 90.00 90.00 90.00
Last column: nearest neighbours and their distance in Å.
Element x y z (fractional)
1 Li 0.0000 0.0000 0.0000  12 Au 3.52
2 Os 0.5000 0.5000 0.5000  6 Au 2.49
3 Au 0.0000 0.5000 0.5000  2 Os 2.49
4 Au 0.5000 0.0000 0.5000  2 Os 2.49
5 Au 0.5000 0.5000 0.0000  2 Os 2.49



No. 11
Crystalline DyFeC2 at its relaxed geometry. Source: Alexandria, functional GGA-PBEsol.

Results
Space-group type: No. 38
Raw total energy: -8.652 eV per atom

Lattice parameters (Å, degrees): 3.5808 3.6792 3.6792 75.31 90.00 90.00
Last column: nearest neighbours and their distance in Å.
Element x y z (fractional)
1 Dy 0.0000 0.0000 0.0000  8 C 2.57-2.65
2 Fe 0.5000 0.6076 0.6076  4 C 1.88-1.96
3 C 0.5000 0.1362 0.4497  1 C 1.41
4 C 0.5000 0.4497 0.1362  1 C 1.41



No. 12
Crystalline As2CBrF at its relaxed geometry. Source: Alexandria, functional GGA-PBEsol.

Results
Space-group type: No. 123
Formation energy without anion corrections: 4.2 eV per formula unit

Lattice parameters (Å, degrees): 4.2706 4.2706 4.6031 90.00 90.00 90.00
Last column: nearest neighbours and their distance in Å.
Element x y z (fractional)
1 As 0.0000 0.5000 0.0000  2 C 2.14
2 As 0.5000 0.0000 0.0000  2 C 2.14
3 C 0.0000 0.0000 0.0000  4 As 2.14, 2 Br 2.30
4 Br 0.0000 0.0000 0.5000  2 C 2.30
5 F 0.5000 0.5000 0.5000  4 Br 3.02, 8 As 3.14



No. 13
Crystalline Al2NiH at its relaxed geometry. Source: Alexandria, functional GGA-PBEsol.

Results
Space-group type: No. 122
Raw total energy: -4.130 eV per atom

Lattice parameters (Å, degrees): 5.7979 5.7979 5.7979 132.49 132.49 69.45
Last column: nearest neighbours and their distance in Å.
Element x y z (fractional)
1 Al 0.0341 0.6250 0.9091  2 H 1.83
2 Al 0.3750 0.2841 0.4091  2 H 1.83
3 Al 0.7159 0.1250 0.0909  2 H 1.83
4 Al 0.8750 0.9659 0.5909  2 H 1.83
5 Ni 0.2500 0.7500 0.5000  4 Al 2.31
6 Ni 0.5000 0.5000 0.0000  4 Al 2.31
7 H 0.0000 0.0000 0.0000  4 Al 1.83
8 H 0.7500 0.2500 0.5000  4 Al 1.83



No. 14
Crystalline TcMoH2 at its relaxed geometry. Source: Alexandria, functional GGA-PBEsol.

Results
Space-group type: No. 122
Raw total energy: -7.305 eV per atom

Lattice parameters (Å, degrees): 5.0832 5.0832 5.0832 132.13 132.13 70.02
Last column: nearest neighbours and their distance in Å.
Element x y z (fractional)
1 Tc 0.0000 0.0000 0.0000  4 H 1.77
2 Tc 0.7500 0.2500 0.5000  4 H 1.77
3 Mo 0.2500 0.7500 0.5000  4 H 1.82
4 Mo 0.5000 0.5000 0.0000  4 H 1.82
5 H 0.1145 0.6250 0.9895  2 Tc 1.77, 2 Mo 1.82
6 H 0.3750 0.3645 0.4895  2 Tc 1.77, 2 Mo 1.82
7 H 0.6355 0.1250 0.0105  2 Tc 1.77, 2 Mo 1.82
8 H 0.8750 0.8855 0.5105  2 Tc 1.77, 2 Mo 1.82



No. 15
Crystalline MnZnCo2 at its relaxed geometry. Source: Alexandria, functional GGA-PBEsol.

Results
Space-group type: No. 12
Raw total energy: -6.568 eV per atom

Lattice parameters (Å, degrees): 4.7282 4.7282 2.4596 101.51 101.51 116.60
Last column: nearest neighbours and their distance in Å.
Element x y z (fractional)
1 Mn 0.0000 0.0000 0.0000  4 Co 2.44, 2 Mn 2.46, 2 Zn 2.48
2 Zn 0.5000 0.5000 0.0000  4 Co 2.44, 2 Zn 2.46, 2 Mn 2.48
3 Co 0.0000 0.5000 0.5000  2 Mn 2.44, 2 Zn 2.44, 4 Co 2.46-2.48
4 Co 0.5000 0.0000 0.5000  2 Mn 2.44, 2 Zn 2.44, 4 Co 2.46-2.48



No. 16
Crystalline YCoSi at its relaxed geometry. Source: Alexandria, functional GGA-PBEsol.

Results
Space-group type: No. 62
Formation energy without anion corrections: -2.4 eV per formula unit

Lattice parameters (Å, degrees): 6.8638 4.1513 6.7257 90.00 90.00 90.00
Last column: nearest neighbours and their distance in Å.
Element x y z (fractional)
1 Y 0.0200 0.2500 0.1843  4 Co 2.80-2.86, 6 Si 2.89-3.09
2 Y 0.4800 0.7500 0.6843  4 Co 2.80-2.86, 6 Si 2.89-3.09
3 Y 0.5200 0.2500 0.3157  4 Co 2.80-2.86, 6 Si 2.89-3.09
4 Y 0.9800 0.7500 0.8157  4 Co 2.80-2.86, 6 Si 2.89-3.09
5 Co 0.1428 0.7500 0.4340  4 Si 2.32-2.46
6 Co 0.3572 0.2500 0.9340  4 Si 2.32-2.46
7 Co 0.6428 0.7500 0.0660  4 Si 2.32-2.46
8 Co 0.8572 0.2500 0.5660  4 Si 2.32-2.46
9 Si 0.1931 0.2500 0.6090  4 Co 2.32-2.46
10 Si 0.3069 0.7500 0.1090  4 Co 2.32-2.46
11 Si 0.6931 0.2500 0.8910  4 Co 2.32-2.46
12 Si 0.8069 0.7500 0.3910  4 Co 2.32-2.46



No. 17
Crystalline MgSi3Se at its relaxed geometry. Source: Alexandria, functional GGA-PBEsol.

Results
Space-group type: No. 221
Formation energy without anion corrections: 4.4 eV per formula unit

Lattice parameters (Å, degrees): 4.8825 4.8825 4.8825 90.00 90.00 90.00
Last column: nearest neighbours and their distance in Å.
Element x y z (fractional)
1 Mg 0.0000 0.0000 0.0000  12 Si 3.45
2 Si 0.0000 0.5000 0.5000  2 Se 2.44
3 Si 0.5000 0.0000 0.5000  2 Se 2.44
4 Si 0.5000 0.5000 0.0000  2 Se 2.44
5 Se 0.5000 0.5000 0.5000  6 Si 2.44



No. 18
Crystalline LiZrAg2 at its relaxed geometry. Source: Alexandria, functional GGA-PBEsol.

Results
Space-group type: No. 47
Raw total energy: -4.529 eV per atom

Lattice parameters (Å, degrees): 2.9401 3.2401 7.1252 90.00 90.00 90.00
Last column: nearest neighbours and their distance in Å.
Element x y z (fractional)
1 Li 0.0000 0.0000 0.0000  8 Ag 2.67, 2 Li 2.94
2 Zr 0.0000 0.0000 0.5000  4 Zr 2.94-3.24, 8 Ag 2.98
3 Ag 0.5000 0.5000 0.2157  4 Li 2.67, 2 Ag 2.94, 4 Zr 2.98
4 Ag 0.5000 0.5000 0.7843  4 Li 2.67, 2 Ag 2.94, 4 Zr 2.98



No. 19
Crystalline K2CuF4 at its relaxed geometry. Source: Alexandria, functional GGA-PBEsol.

Results
Space-group type: No. 142
E above lowest polymorph: 0.000 eV/atom
Formation energy without anion corrections: -16.1 eV per formula unit

Lattice parameters (Å, degrees): 13.3473 13.3473 13.3473 155.08 155.08 35.54
Last column: nearest neighbours and their distance in Å.
Element x y z (fractional)
1 K 0.0538 0.8038 0.2500  9 F 2.59-2.88
2 K 0.1962 0.9462 0.2500  9 F 2.59-2.88
3 K 0.3038 0.5538 0.7500  9 F 2.59-2.88
4 K 0.4462 0.6962 0.7500  9 F 2.59-2.88
5 K 0.5538 0.3038 0.2500  9 F 2.59-2.88
6 K 0.6962 0.4462 0.2500  9 F 2.59-2.88
7 K 0.8038 0.0538 0.7500  9 F 2.59-2.88
8 K 0.9462 0.1962 0.7500  9 F 2.59-2.88
9 Cu 0.1250 0.3750 0.7500  6 F 1.94-2.14
10 Cu 0.3750 0.1250 0.2500  6 F 1.94-2.14
11 Cu 0.6250 0.8750 0.7500  6 F 1.94-2.14
12 Cu 0.8750 0.6250 0.2500  6 F 1.94-2.14
13 F 0.0480 0.2980 0.7500  1 Cu 1.96
14 F 0.1127 0.8627 0.7254  2 Cu 1.94-2.14
15 F 0.1373 0.3627 0.2500  2 Cu 1.94-2.14
16 F 0.2020 0.4520 0.7500  1 Cu 1.96
17 F 0.2980 0.0480 0.2500  1 Cu 1.96
18 F 0.3627 0.6127 0.2254  2 Cu 1.94-2.14
19 F 0.3873 0.1127 0.7500  2 Cu 1.94-2.14
20 F 0.4520 0.2020 0.2500  1 Cu 1.96
21 F 0.5480 0.7980 0.7500  1 Cu 1.96
22 F 0.6127 0.8873 0.2500  2 Cu 1.94-2.14
23 F 0.6373 0.3873 0.7746  2 Cu 1.94-2.14
24 F 0.7020 0.9520 0.7500  1 Cu 1.96
25 F 0.7980 0.5480 0.2500  1 Cu 1.96
26 F 0.8627 0.6373 0.7500  2 Cu 1.94-2.14
27 F 0.8873 0.1373 0.2746  2 Cu 1.94-2.14
28 F 0.9520 0.7020 0.2500  1 Cu 1.96



No. 20
Crystalline Cr2FePt at its relaxed geometry. Source: Alexandria, functional GGA-PBEsol.

Results
Space-group type: No. 99
Raw total energy: -9.053 eV per atom

Lattice parameters (Å, degrees): 2.5782 2.5782 7.2488 90.00 90.00 90.00
Last column: nearest neighbours and their distance in Å.
Element x y z (fractional)
1 Cr 0.0000 0.0000 0.0000  8 Cr 2.57-2.58, 4 Pt 2.62
2 Cr 0.5000 0.5000 0.2490  4 Fe 2.43, 8 Cr 2.57-2.58
3 Fe 0.0000 0.0000 0.4701  4 Cr 2.43, 4 Fe 2.58, 4 Pt 2.67
4 Pt 0.5000 0.5000 0.7397  4 Pt 2.58, 4 Cr 2.62, 4 Fe 2.67